Density functional theory data (PBE-GGA) for crystalline Dy2TmMg3Ir3 at its relaxed geometry.

Summary:
Calculated total energy   -102.26 eV per cell

CIF file:
```
data_Dy2TmMg3Ir3
_chemical_formula_sum 'Dy4 Tm2 Mg6 Ir6'
_cell_length_a 4.0401
_cell_length_b 12.5222
_cell_length_c 7.2406
_cell_angle_alpha 90.00
_cell_angle_beta 90.00
_cell_angle_gamma 90.00
_symmetry_space_group_name_H-M 'A m m 2'
_symmetry_Int_Tables_number 38
loop_
_symmetry_equiv_pos_as_xyz
'x,y,z'
'-x,-y,z'
'-x,y,z'
'x,-y,z'
'x,y+1/2,z+1/2'
'-x,-y+1/2,z+1/2'
'-x,y+1/2,z+1/2'
'x,-y+1/2,z+1/2'
loop_
_atom_site_label
_atom_site_fract_x
_atom_site_fract_y
_atom_site_fract_z
_atom_site_occupancy
Dy1 0.0000 0.2047 0.0000 1
Tm1 0.0000 0.0000 0.6124 1
Mg1 0.5000 0.0000 0.9591 1
Mg2 0.5000 0.1224 0.3278 1
Ir1 0.0000 0.0000 0.2067 1
Ir2 0.5000 0.1652 0.7042 1
```

Density functional theory data (PBE-GGA) for crystalline DyMgZn2Ir4 at its relaxed geometry.

Summary:
Calculated total energy   -46.49 eV per cell

CIF file:
```
data_DyMgZn2Ir4
_chemical_formula_sum 'Dy1 Mg1 Zn2 Ir4'
_cell_length_a 4.4518
_cell_length_b 4.4518
_cell_length_c 6.3481
_cell_angle_alpha 90.00
_cell_angle_beta 90.00
_cell_angle_gamma 90.00
_symmetry_space_group_name_H-M 'P 4/m m m'
_symmetry_Int_Tables_number 123
_symmetry_space_group_name_Hall '-P 4 2'
loop_
_atom_site_label
_atom_site_fract_x
_atom_site_fract_y
_atom_site_fract_z
_atom_site_occupancy
Dy1 0.0000 0.0000 0.0000 1
Mg1 0.5000 0.5000 0.5000 1
Zn1 0.0000 0.0000 0.5000 1
Zn2 0.5000 0.5000 0.0000 1
Ir1 0.0000 0.5000 0.2685 1
```

Density functional theory data (PBE-GGA) for crystalline Dy3Mg3ZnIr2 at its relaxed geometry.

Summary:
Calculated total energy   -42.25 eV per cell

CIF file:
```
data_Dy3Mg3ZnIr2
_chemical_formula_sum 'Dy3 Mg3 Zn1 Ir2'
_cell_length_a 7.3688
_cell_length_b 7.3688
_cell_length_c 4.0336
_cell_angle_alpha 90.00
_cell_angle_beta 90.00
_cell_angle_gamma 120.00
_symmetry_space_group_name_H-M 'P -6 2 m'
_symmetry_Int_Tables_number 189
_symmetry_space_group_name_Hall 'P -6 -2'
loop_
_atom_site_label
_atom_site_fract_x
_atom_site_fract_y
_atom_site_fract_z
_atom_site_occupancy
Dy1 0.0000 0.4197 0.0000 1
Mg1 0.0000 0.7497 0.5000 1
Zn1 0.0000 0.0000 0.0000 1
Ir1 0.3333 0.6667 0.5000 1
```

Density functional theory data (PBE-GGA) for crystalline DyMoIr at its relaxed geometry.

Summary:
Formation energy   0.1298 eV per atom

CIF file:
```
data_DyMoIr
_chemical_formula_sum 'Dy4 Mo4 Ir4'
_cell_length_a 6.3873
_cell_length_b 6.3873
_cell_length_c 6.3873
_cell_angle_alpha 90.00
_cell_angle_beta 90.00
_cell_angle_gamma 90.00
_symmetry_space_group_name_H-M 'F -4 3 m'
_symmetry_Int_Tables_number 216
_symmetry_space_group_name_Hall 'F -4 2 3'
loop_
_atom_site_label
_atom_site_fract_x
_atom_site_fract_y
_atom_site_fract_z
_atom_site_occupancy
Dy1 0.0000 0.0000 0.0000 1
Mo1 0.0000 0.0000 0.5000 1
Ir1 0.2500 0.2500 0.2500 1
```

Density functional theory data (PBE-GGA) for crystalline DyIr8N2 at its relaxed geometry.

Summary:
Calculated total energy   -182.75 eV per cell

CIF file:
```
data_DyIr8N2
_chemical_formula_sum 'Dy2 Ir16 N4'
_cell_length_a 12.2891
_cell_length_b 3.5905
_cell_length_c 9.0551
_cell_angle_alpha 90.00
_cell_angle_beta 129.21
_cell_angle_gamma 90.00
_symmetry_space_group_name_H-M 'C 1 2/m 1'
_symmetry_Int_Tables_number 12
loop_
_symmetry_equiv_pos_as_xyz
'x,y,z'
'-x,-y,-z'
'-x,y,-z'
'x,-y,z'
'x+1/2,y+1/2,z'
'-x+1/2,-y+1/2,-z'
'-x+1/2,y+1/2,-z'
'x+1/2,-y+1/2,z'
loop_
_atom_site_label
_atom_site_fract_x
_atom_site_fract_y
_atom_site_fract_z
_atom_site_occupancy
Dy1 0.0000 0.0000 0.0000 1
Ir1 0.0024 0.0000 0.3307 1
Ir2 0.1384 0.5000 0.6147 1
Ir3 0.1853 0.5000 0.3477 1
Ir4 0.2263 0.5000 0.0889 1
N1 0.0280 0.5000 0.8254 1
```

Density functional theory data (PBE-GGA) for crystalline TbDyIr2N2O2 at its relaxed geometry.

Summary:
Calculated total energy   -63.15 eV per cell

CIF file:
```
data_TbDyIr2N2O2
_chemical_formula_sum 'Tb1 Dy1 Ir2 N2 O2'
_cell_length_a 3.9372
_cell_length_b 3.9372
_cell_length_c 7.2579
_cell_angle_alpha 90.00
_cell_angle_beta 90.00
_cell_angle_gamma 90.00
_symmetry_space_group_name_H-M 'P 4 m m'
_symmetry_Int_Tables_number 99
loop_
_symmetry_equiv_pos_as_xyz
'x,y,z'
'-y,x,z'
'-x,-y,z'
'y,-x,z'
'-x,y,z'
'y,x,z'
'x,-y,z'
'-y,-x,z'
loop_
_atom_site_label
_atom_site_fract_x
_atom_site_fract_y
_atom_site_fract_z
_atom_site_occupancy
Tb1 0.0000 0.0000 0.0000 1
Dy1 0.5000 0.5000 0.7031 1
Ir1 0.0000 0.5000 0.3519 1
N1 0.0000 0.0000 0.4596 1
N2 0.5000 0.5000 0.2427 1
O1 0.0000 0.5000 0.8500 1
```

> Which formula does entry 2 have?

DyMgZn2Ir4

> What is the formula in the second record?

DyMgZn2Ir4